Material: SrSnCCl2
Method: DFT, PBE
State: optimized geometry

Space-group type = P4/mmm
Formation energy from raw total energies = 285 meV/atom

Unit cell a=5.5195 b=5.5195 c=5.3018 alpha=90.00 beta=90.00 gamma=90.00
Last column: nearest neighbours and their distance in Å.
Fractional coordinates of all 5 atoms:
Sr 0.0000 0.0000 0.0000  2 C 2.65, 4 Cl 2.76
Sn 0.5000 0.5000 0.5000  8 Cl 3.83, 4 C 3.90
C 0.0000 0.0000 0.5000  2 Sr 2.65
Cl 0.0000 0.5000 0.0000  2 Sr 2.76
Cl 0.5000 0.0000 0.0000  2 Sr 2.76